# PuHfPa14

An optimized crystal structure of PuHfPa14 (PBE, the Alexandria database).

Cell and atoms, written as POSCAR:
```
PuHfPa14
1.0
6.4627 0.0000 0.0000
0.0000 6.4627 0.0000
0.0000 0.0000 9.5245
Pu Hf Pa
1 1 14
direct
0.0000 0.0000 0.0000
0.5000 0.5000 0.0000
0.0000 0.0000 0.5000
0.0000 0.5000 0.0000
0.0000 0.5000 0.5000
0.2516 0.2516 0.2468
0.2516 0.2516 0.7532
0.2516 0.7484 0.2468
0.2516 0.7484 0.7532
0.5000 0.0000 0.0000
0.5000 0.0000 0.5000
0.5000 0.5000 0.5000
0.7484 0.2516 0.2468
0.7484 0.2516 0.7532
0.7484 0.7484 0.2468
0.7484 0.7484 0.7532
```

Output
- Formation energy: 0.0290 eV/atom
- Final energy: -9.798 eV per atom
- Space group: P4/mmm, No. 123